[1]
A relaxed Pm4Y3Th crystal, computed with PBE.

Values from the calculation:
Energy of formation from the pure elements, eV/atom: 0.021
Crystal system: monoclinic
E above lowest polymorph, meV/atom: 0.0
Magnetic moment, μB/cell: 0.0
ρ, g cm⁻³: 6.73
Volume, Å³/atom: 33.3

POSCAR file:
```
Pm4Y3Th
1.0
-1.904 2.398 -1.924
-4.755 -4.030 -0.319
0.525 6.675 11.198
Pm Th Y
4 1 3
Cartesian
-0.898 5.428 7.653 Pm
-1.404 2.943 5.058 Pm
-5.236 -0.385 1.303 Pm
-4.729 2.099 3.897 Pm
-0.952 1.199 -0.962 Th
-1.836 0.459 2.389 Y
-2.377 -2.015 -0.159 Y
-4.298 4.583 6.566 Y
```

---

[2]
A relaxed Zr2MoAs crystal, computed with PBE.

Values from the calculation:
Energy of formation from the pure elements, eV/atom: -0.319
Crystal system: orthorhombic
Magnetic moment, μB/cell: 0.0
ρ, g cm⁻³: 7.52
Volume, Å³/atom: 19.5

POSCAR file:
```
Zr2MoAs
1.0
5.926 0.012 0.005
3.313 4.914 -0.005
-4.284 -3.092 2.685
Zr Mo As
2 1 1
Cartesian
9.010 4.804 0.000 Zr
1.710 2.082 1.340 Zr
3.054 -0.349 1.345 Mo
5.039 2.687 0.000 As
```

---

[3]
A relaxed AcAl4Ga12 crystal, computed with PBE.

Values from the calculation:
Energy of formation from the pure elements, eV/atom: -0.003
Crystal system: cubic
Magnetic moment, μB/cell: 0.0
ρ, g cm⁻³: 5.32
Volume, Å³/atom: 21.5

POSCAR file:
```
AcAl4Ga12
1.0
-1.678 5.855 -4.875
2.241 -6.242 -4.107
-6.329 -1.784 4.197
Al Ga Ac
4 12 1
Cartesian
1.121 -3.121 -2.053 Al
-3.165 -0.892 2.098 Al
-0.839 2.927 -2.438 Al
-2.883 -1.086 -2.392 Al
-1.935 2.368 -4.741 Ga
-0.254 -1.458 -5.753 Ga
-5.352 -0.824 -1.584 Ga
-3.096 0.088 -4.715 Ga
-2.985 -3.570 -3.189 Ga
-2.781 1.399 -1.596 Ga
-3.831 -4.540 -0.044 Ga
-2.670 -2.260 -0.070 Ga
-5.512 -0.713 0.968 Ga
-0.710 -4.727 -2.996 Ga
-0.414 -1.348 -3.201 Ga
-5.056 2.555 -1.789 Ga
0.000 0.000 0.000 Ac
```

---

Q: Which of these has the lowest ρ?
A: AcAl4Ga12